Record 1
First-principles (PBE-GGA) data for Nb2Co2Mo after structural relaxation, as listed in the Alexandria database.

total magnetization = 0.00 μB/f.u.
formation energy = 12 meV/atom
calculated total energy = -45.12 eV per formula unit
volume = 147.4 Å³ per cell

a = 6.9853 Å, b = 6.9853 Å, c = 3.0203 Å
α = 90.00°, β = 90.00°, γ = 90.00°
Closest atoms and distances in Å follow each position.
Space group P4/mbm (No. 127)
Asymmetric unit:
Nb: 0.1748 0.3252 0.0000  6 Co 2.49-2.60
Co: 0.1249 0.6249 0.5000  1 Co 2.47, 6 Nb 2.49-2.60, 2 Mo 2.76
Mo: 0.0000 0.0000 0.5000  4 Co 2.76, 8 Nb 2.99, 2 Mo 3.02

***

Record 2
First-principles (PBE-GGA) data for NbCoMo3 after structural relaxation, as listed in the Alexandria database.

total magnetization = 0.00 μB/f.u.
polymorph energy (0 for the lowest one) = 0.0000 eV/atom
formation energy = 1061 meV/atom
calculated total energy = -44.36 eV per formula unit
volume = 88.1 Å³ per cell

a = 4.4502 Å, b = 4.4502 Å, c = 4.4502 Å
α = 90.00°, β = 90.00°, γ = 90.00°
Closest atoms and distances in Å follow each position.
Space group Pm-3m (No. 221)
Asymmetric unit:
Nb: 0.0000 0.0000 0.0000  12 Mo 3.15
Co: 0.5000 0.5000 0.5000  6 Mo 2.23
Mo: 0.0000 0.5000 0.5000  2 Co 2.23

***

Record 3
First-principles (PBE-GGA) data for Nb6CoMo after structural relaxation, as listed in the Alexandria database.

total magnetization = 0.57 μB/f.u.
formation energy = -48 meV/atom
calculated total energy = -78.74 eV per formula unit
volume = 273.3 Å³ per cell

a = 4.5651 Å, b = 4.5651 Å, c = 13.1123 Å
α = 90.00°, β = 90.00°, γ = 90.00°
Closest atoms and distances in Å follow each position.
Space group I4/mmm (No. 139)
Asymmetric unit:
Nb: 0.0000 0.0000 0.2486  8 Nb 2.84-2.86
Nb: 0.0000 0.5000 0.1200  2 Mo 2.77, 2 Co 2.77, 4 Nb 2.84-2.86
Co: 0.0000 0.0000 0.5000  8 Nb 2.77
Mo: 0.0000 0.0000 0.0000  8 Nb 2.77

***

Record 4
First-principles (PBE-GGA) data for NbCoMo3 after structural relaxation, as listed in the Alexandria database.

total magnetization = 0.00 μB/f.u.
polymorph energy (0 for the lowest one) = 1.1307 eV/atom
formation energy = 2192 meV/atom
calculated total energy = -38.71 eV per formula unit
volume = 103.0 Å³ per cell

a = 4.6877 Å, b = 4.6877 Å, c = 4.6877 Å
α = 90.00°, β = 90.00°, γ = 90.00°
Closest atoms and distances in Å follow each position.
Space group Pm-3m (No. 221)
Asymmetric unit:
Nb: 0.0000 0.0000 0.0000  6 Mo 2.34
Co: 0.5000 0.5000 0.5000  12 Mo 3.31
Mo: 0.0000 0.0000 0.5000  2 Nb 2.34

***

Record 5
First-principles (PBE-GGA) data for NbCo2Mo2 after structural relaxation, as listed in the Alexandria database.

total magnetization = 0.00 μB/f.u.
polymorph energy (0 for the lowest one) = 0.0000 eV/atom
formation energy = 67 meV/atom
calculated total energy = -45.61 eV per formula unit
volume = 142.5 Å³ per cell

a = 7.2843 Å, b = 7.2843 Å, c = 2.6850 Å
α = 90.00°, β = 90.00°, γ = 90.00°
Closest atoms and distances in Å follow each position.
Space group P4/mbm (No. 127)
Asymmetric unit:
Nb: 0.0000 0.0000 0.0000  2 Nb 2.69, 4 Co 2.89
Co: 0.1222 0.3778 0.0000  6 Mo 2.51-2.55, 3 Co 2.52-2.69
Mo: 0.1718 0.6718 0.5000  6 Co 2.51-2.55, 2 Mo 2.69

***

Record 6
First-principles (PBE-GGA) data for NbCo2Mo after structural relaxation, as listed in the Alexandria database.

total magnetization = 3.88 μB/f.u.
polymorph energy (0 for the lowest one) = 0.1279 eV/atom
formation energy = 120 meV/atom
calculated total energy = -34.63 eV per formula unit
volume = 225.9 Å³ per cell

a = 6.0907 Å, b = 6.0907 Å, c = 6.0907 Å
α = 90.00°, β = 90.00°, γ = 90.00°
Closest atoms and distances in Å follow each position.
Space group Fm-3m (No. 225)
Asymmetric unit:
Nb: 0.0000 0.0000 0.0000  8 Co 2.64
Co: 0.2500 0.2500 0.2500  4 Nb 2.64, 4 Mo 2.64
Mo: 0.0000 0.0000 0.5000  8 Co 2.64

***

Record 7
First-principles (PBE-GGA) data for Nb6CoMo5 after structural relaxation, as listed in the Alexandria database.

total magnetization = 0.00 μB/f.u.
formation energy = -115 meV/atom
calculated total energy = -123.06 eV per formula unit
volume = 397.8 Å³ per cell

a = 4.5482 Å, b = 6.4068 Å, c = 13.6526 Å
α = 90.00°, β = 90.00°, γ = 90.00°
Closest atoms and distances in Å follow each position.
Space group Immm (No. 71)
Asymmetric unit:
Nb: 0.0000 0.2494 0.0000  6 Mo 2.75-2.79, 2 Co 2.78
Nb: 0.0000 0.2500 0.3340  7 Mo 2.78-2.82, 1 Co 2.78
Co: 0.0000 0.5000 0.5000  8 Nb 2.78
Mo: 0.0000 0.0000 0.1638  8 Nb 2.75-2.82
Mo: 0.0000 0.0000 0.5000  8 Nb 2.78
Mo: 0.0000 0.5000 0.1669  8 Nb 2.78-2.79

***

Record 8
First-principles (PBE-GGA) data for NbCo2Mo after structural relaxation, as listed in the Alexandria database.

total magnetization = 0.00 μB/f.u.
polymorph energy (0 for the lowest one) = 0.0000 eV/atom
formation energy = -7 meV/atom
calculated total energy = -35.14 eV per formula unit
volume = 54.4 Å³ per cell

a = 3.8387 Å, b = 3.8387 Å, c = 3.6923 Å
α = 90.00°, β = 90.00°, γ = 90.00°
Closest atoms and distances in Å follow each position.
Space group P4/mmm (No. 123)
Asymmetric unit:
Nb: 0.0000 0.0000 0.0000  8 Co 2.66, 4 Mo 2.71
Co: 0.0000 0.5000 0.5000  4 Nb 2.66, 4 Mo 2.66, 4 Co 2.71
Mo: 0.5000 0.5000 0.0000  8 Co 2.66, 4 Nb 2.71

***

Record 9
First-principles (PBE-GGA) data for NbCoMo2 after structural relaxation, as listed in the Alexandria database.

total magnetization = 0.00 μB/f.u.
polymorph energy (0 for the lowest one) = 0.3256 eV/atom
formation energy = 549 meV/atom
calculated total energy = -36.64 eV per formula unit
volume = 257.9 Å³ per cell

a = 7.1604 Å, b = 7.1604 Å, c = 5.0298 Å
α = 90.00°, β = 90.00°, γ = 90.00°
Closest atoms and distances in Å follow each position.
Space group I-42d (No. 122)
Asymmetric unit:
Nb: 0.0000 0.0000 0.0000  2 Co 2.51, 4 Mo 2.78
Co: 0.0000 0.0000 0.5000  4 Mo 2.45, 2 Nb 2.51
Mo: 0.2156 0.2500 0.6250  2 Co 2.45, 2 Mo 2.56

***

Record 10
First-principles (PBE-GGA) data for NbCo2Mo2 after structural relaxation, as listed in the Alexandria database.

total magnetization = 0.00 μB/f.u.
polymorph energy (0 for the lowest one) = 0.1791 eV/atom
formation energy = 246 meV/atom
calculated total energy = -44.71 eV per formula unit
volume = 149.8 Å³ per cell

a = 3.7243 Å, b = 3.7243 Å, c = 10.7970 Å
α = 90.00°, β = 90.00°, γ = 90.00°
Closest atoms and distances in Å follow each position.
Space group I4/mmm (No. 139)
Asymmetric unit:
Nb: 0.0000 0.0000 0.0000  8 Co 2.84
Co: 0.0000 0.0000 0.4014  1 Co 2.13
Mo: 0.0000 0.5000 0.2500  4 Co 2.48, 4 Mo 2.63

***

Record 11
First-principles (PBE-GGA) data for NbCo3Mo after structural relaxation, as listed in the Alexandria database.

total magnetization = 1.61 μB/f.u.
polymorph energy (0 for the lowest one) = 0.0000 eV/atom
formation energy = 1293 meV/atom
calculated total energy = -35.75 eV per formula unit
volume = 81.6 Å³ per cell

a = 4.3374 Å, b = 4.3374 Å, c = 4.3374 Å
α = 90.00°, β = 90.00°, γ = 90.00°
Closest atoms and distances in Å follow each position.
Space group Pm-3m (No. 221)
Asymmetric unit:
Nb: 0.0000 0.0000 0.0000  12 Co 3.07
Co: 0.0000 0.5000 0.5000  2 Mo 2.17
Mo: 0.5000 0.5000 0.5000  6 Co 2.17

***

Record 12
First-principles (PBE-GGA) data for NbCoMo2 after structural relaxation, as listed in the Alexandria database.

total magnetization = 0.72 μB/f.u.
polymorph energy (0 for the lowest one) = 0.3152 eV/atom
formation energy = 538 meV/atom
calculated total energy = -36.69 eV per formula unit
volume = 190.1 Å³ per cell

a = 2.7620 Å, b = 2.7620 Å, c = 28.7792 Å
α = 90.00°, β = 90.00°, γ = 120.00°
Closest atoms and distances in Å follow each position.
Space group R-3m (No. 166, hexagonal axes)
Asymmetric unit:
Nb: 0.0000 0.0000 0.0000  2 Mo 2.70, 6 Nb 2.76
Co: 0.0000 0.0000 0.5000  6 Mo 2.63, 6 Co 2.76
Mo: 0.0000 0.0000 0.0938  3 Co 2.63, 1 Nb 2.70, 6 Mo 2.76